# 1
Here is crystalline La3Ga2CuAu6 at its relaxed geometry from Alexandria via LeMat-Bulk. Energies are from GGA-PBE.

Unit cell a=6.2704 b=6.2704 c=8.3585 alpha=90.00 beta=90.00 gamma=120.00
With the nearest neighbours (Å) after each atom.
Positions (direct):
La 0.0000 0.0000 0.0000  6 Au 3.09
La 0.3333 0.6667 0.6399  9 Au 3.19-3.39, 1 Ga 3.26
La 0.6667 0.3333 0.3601  9 Au 3.19-3.39, 1 Ga 3.26
Ga 0.3333 0.6667 0.0295  3 Au 2.75
Ga 0.6667 0.3333 0.9705  3 Au 2.75
Cu 0.0000 0.0000 0.5000  6 Au 2.62
Au 0.1775 0.3550 0.2885  1 Cu 2.62, 1 Ga 2.75
Au 0.1775 0.8225 0.2885  1 Cu 2.62, 1 Ga 2.75
Au 0.3550 0.1775 0.7115  1 Cu 2.62, 1 Ga 2.75
Au 0.6450 0.8225 0.2885  1 Cu 2.62, 1 Ga 2.75
Au 0.8225 0.1775 0.7115  1 Cu 2.62, 1 Ga 2.75
Au 0.8225 0.6450 0.7115  1 Cu 2.62, 1 Ga 2.75

## Properties
Final energy: -50.55 eV for the cell shown
Crystal system: trigonal

=====

# 2
Here is crystalline La2Ga4CuAu3 at its relaxed geometry from Alexandria via LeMat-Bulk. Energies are from GGA-PBE.

Unit cell a=4.4510 b=4.4510 c=10.5251 alpha=90.00 beta=90.00 gamma=90.00
With the nearest neighbours (Å) after each atom.
Positions (direct):
La 0.0000 0.5000 0.2447  8 Ga 3.39-3.49, 6 Au 3.40, 2 Cu 3.40
La 0.5000 0.0000 0.7553  8 Ga 3.39-3.49, 6 Au 3.40, 2 Cu 3.40
Ga 0.0000 0.0000 0.5000  4 Au 2.64
Ga 0.0000 0.5000 0.8758  3 Au 2.54-2.58, 2 Cu 2.58
Ga 0.5000 0.0000 0.1242  3 Au 2.54-2.58, 2 Cu 2.58
Ga 0.5000 0.5000 0.5000  4 Au 2.64
Cu 0.5000 0.5000 0.0000  4 Ga 2.58
Au 0.0000 0.0000 0.0000  4 Ga 2.58
Au 0.0000 0.5000 0.6342  5 Ga 2.54-2.64
Au 0.5000 0.0000 0.3658  5 Ga 2.54-2.64

## Properties
Final energy: -42.20 eV for the cell shown
Crystal system: tetragonal

=====

# 3
Here is crystalline LaGa2CuAu at its relaxed geometry from Alexandria via LeMat-Bulk. Energies are from GGA-PBE.

Unit cell a=6.0784 b=6.0784 c=6.0784 alpha=137.92 beta=137.25 gamma=61.54
With the nearest neighbours (Å) after each atom.
Positions (direct):
La 0.0000 0.0000 0.0000  8 Ga 3.31-3.46, 4 Cu 3.35, 4 Au 3.41-3.42
Ga 0.3910 0.3910 0.0000  1 Cu 2.39, 2 Au 2.62
Ga 0.7432 0.2432 0.5000  2 Cu 2.53, 2 Ga 2.70
Cu 0.6198 0.6198 0.0000  3 Ga 2.39-2.53, 2 Au 2.61
Au 0.2520 0.7520 0.5000  2 Cu 2.61, 2 Ga 2.62

## Properties
Final energy: -20.99 eV for the cell shown
Crystal system: orthorhombic

=====

# 4
Here is crystalline La2Ga3CuAu4 at its relaxed geometry from Alexandria via LeMat-Bulk. Energies are from GGA-PBE.

Unit cell a=4.5283 b=4.5283 c=10.3154 alpha=90.00 beta=90.00 gamma=90.00
With the nearest neighbours (Å) after each atom.
Positions (direct):
La 0.0000 0.5000 0.2421  6 Ga 3.37-3.46, 2 Cu 3.37, 8 Au 3.42-3.49
La 0.5000 0.0000 0.7579  6 Ga 3.37-3.46, 2 Cu 3.37, 8 Au 3.42-3.49
Ga 0.0000 0.0000 0.0000  4 Au 2.60
Ga 0.0000 0.5000 0.6307  5 Au 2.53-2.64
Ga 0.5000 0.0000 0.3693  5 Au 2.53-2.64
Cu 0.5000 0.5000 0.0000  4 Au 2.60
Au 0.0000 0.0000 0.5000  4 Ga 2.64
Au 0.0000 0.5000 0.8756  3 Ga 2.53-2.60, 2 Cu 2.60
Au 0.5000 0.0000 0.1244  3 Ga 2.53-2.60, 2 Cu 2.60
Au 0.5000 0.5000 0.5000  4 Ga 2.64

## Properties
Final energy: -42.32 eV for the cell shown
Crystal system: tetragonal

=====

# 5
Here is crystalline La2Ga3Cu12Au at its relaxed geometry from Alexandria via LeMat-Bulk. Energies are from GGA-PBE.

Unit cell a=10.1084 b=10.1084 c=10.1084 alpha=35.38 beta=35.38 gamma=35.38
With the nearest neighbours (Å) after each atom.
Positions (direct):
La 0.1489 0.1489 0.1489  12 Cu 3.17-3.45
La 0.8511 0.8511 0.8511  12 Cu 3.17-3.45
Ga 0.0000 0.5000 0.5000  6 Cu 2.43-2.68
Ga 0.5000 0.0000 0.5000  6 Cu 2.43-2.68
Ga 0.5000 0.5000 0.0000  6 Cu 2.43-2.68
Cu 0.0818 0.0818 0.6903  4 Cu 2.41-2.45, 2 Ga 2.43
Cu 0.0818 0.6903 0.0818  4 Cu 2.41-2.45, 2 Ga 2.43
Cu 0.1381 0.5717 0.5717  4 Cu 2.45-2.66, 1 Au 2.58, 1 Ga 2.68
Cu 0.3097 0.9182 0.9182  4 Cu 2.41-2.45, 2 Ga 2.43
Cu 0.4283 0.4283 0.8619  4 Cu 2.45-2.66, 1 Au 2.58, 1 Ga 2.68
Cu 0.4283 0.8619 0.4283  4 Cu 2.45-2.66, 1 Au 2.58, 1 Ga 2.68
Cu 0.5717 0.1381 0.5717  4 Cu 2.45-2.66, 1 Au 2.58, 1 Ga 2.68
Cu 0.5717 0.5717 0.1381  4 Cu 2.45-2.66, 1 Au 2.58, 1 Ga 2.68
Cu 0.6903 0.0818 0.0818  4 Cu 2.41-2.45, 2 Ga 2.43
Cu 0.8619 0.4283 0.4283  4 Cu 2.45-2.66, 1 Au 2.58, 1 Ga 2.68
Cu 0.9182 0.3097 0.9182  4 Cu 2.41-2.45, 2 Ga 2.43
Cu 0.9182 0.9182 0.3097  4 Cu 2.41-2.45, 2 Ga 2.43
Au 0.5000 0.5000 0.5000  6 Cu 2.58

## Properties
Final energy: -70.62 eV for the cell shown
Crystal system: trigonal

=====

# 6
Here is crystalline LuGaCuAu at its relaxed geometry from Alexandria via LeMat-Bulk. Energies are from GGA-PBE.

Unit cell a=4.6520 b=4.6520 c=4.6520 alpha=60.00 beta=60.00 gamma=60.00
With the nearest neighbours (Å) after each atom.
Positions (direct):
Lu 0.0000 0.0000 0.0000  4 Cu 2.85, 4 Au 2.85
Ga 0.5000 0.5000 0.5000  4 Cu 2.85, 4 Au 2.85
Cu 0.7500 0.7500 0.7500  4 Lu 2.85, 4 Ga 2.85
Au 0.2500 0.2500 0.2500  4 Ga 2.85, 4 Lu 2.85

## Properties
Final energy: -16.87 eV for the cell shown
Crystal system: cubic

=====

# 7
Here is crystalline Mg2Ga2Cu5Au3 at its relaxed geometry from Alexandria via LeMat-Bulk. Energies are from GGA-PBE.

Unit cell a=14.9808 b=14.9808 c=14.9808 alpha=166.08 beta=166.08 gamma=19.74
With the nearest neighbours (Å) after each atom.
Positions (direct):
Mg 0.2216 0.2216 0.0000  1 Ga 2.74, 5 Au 2.83-2.87
Mg 0.7784 0.7784 0.0000  1 Ga 2.74, 5 Au 2.83-2.87
Ga 0.1289 0.1289 0.0000  4 Cu 2.54, 1 Mg 2.74
Ga 0.8711 0.8711 0.0000  4 Cu 2.54, 1 Mg 2.74
Cu 0.0000 0.0000 0.0000  4 Au 2.57, 8 Cu 2.72
Cu 0.0685 0.5685 0.5000  2 Ga 2.54, 6 Cu 2.57-2.72, 2 Au 2.72
Cu 0.4315 0.9315 0.5000  2 Ga 2.54, 6 Cu 2.57-2.72, 2 Au 2.72
Cu 0.5685 0.0685 0.5000  2 Ga 2.54, 6 Cu 2.57-2.72, 2 Au 2.72
Cu 0.9315 0.4315 0.5000  2 Ga 2.54, 6 Cu 2.57-2.72, 2 Au 2.72
Au 0.3190 0.3190 0.0000  5 Mg 2.83-2.87, 4 Ga 2.99
Au 0.5000 0.5000 0.0000  12 Cu 2.57-2.72
Au 0.6810 0.6810 0.0000  5 Mg 2.83-2.87, 4 Ga 2.99

## Properties
Final energy: -40.79 eV for the cell shown
Crystal system: tetragonal

=====

# 8
Here is crystalline MgGaCuAu at its relaxed geometry from Alexandria via LeMat-Bulk. Energies are from GGA-PBE.

Unit cell a=3.7340 b=3.7340 c=9.8373 alpha=90.00 beta=90.00 gamma=90.00
With the nearest neighbours (Å) after each atom.
Positions (direct):
Mg 0.2500 0.2500 0.2132  5 Au 2.83-2.97, 4 Ga 2.90
Mg 0.7500 0.7500 0.7868  5 Au 2.83-2.97, 4 Ga 2.90
Ga 0.2500 0.2500 0.6655  4 Cu 2.48, 1 Au 2.56
Ga 0.7500 0.7500 0.3345  4 Cu 2.48, 1 Au 2.56
Cu 0.2500 0.7500 0.5000  4 Ga 2.48, 4 Cu 2.64
Cu 0.7500 0.2500 0.5000  4 Ga 2.48, 4 Cu 2.64
Au 0.2500 0.2500 0.9255  1 Ga 2.56, 1 Mg 2.83
Au 0.7500 0.7500 0.0745  1 Ga 2.56, 1 Mg 2.83

## Properties
Final energy: -25.60 eV for the cell shown
Crystal system: tetragonal